# LaLu3Ru PBE-GGA optimized geometry
data_LaLu3Ru
_chemical_formula_sum 'La1 Lu3 Ru1'
_symmetry_space_group_name_H-M 'P 1'
_symmetry_Int_Tables_number 1
_cell_length_a 5.315
_cell_length_b 5.315
_cell_length_c 5.315
_cell_angle_alpha 90.00
_cell_angle_beta 90.00
_cell_angle_gamma 90.00
loop_
_symmetry_equiv_pos_as_xyz
'x,y,z'
loop_
_atom_site_label
_atom_site_fract_x
_atom_site_fract_y
_atom_site_fract_z
Ru1 0.000 0.000 0.000
Lu1 0.000 0.500 0.000
Lu2 0.000 0.000 0.500
Lu3 0.500 0.000 0.000
La1 0.500 0.500 0.500
# Energy relative to the elements   -4.1 kcal/mol of atoms
# Theoretical density   8.5 g cm⁻³
# Symmetry   Pm-3m, No. 221